Computed, not measured: crystalline AcLaYAg at its relaxed geometry at the PBE level of DFT.

```
AcLaYAg
1.0
-3.064 1.489 -4.534
0.634 -2.795 -4.893
-4.128 -3.406 -1.876
La Ac Y Ag
1 1 1 1
Cartesian
-1.639 -1.178 -2.826 La
-3.279 -2.356 -5.651 Ac
-4.918 -3.534 -8.477 Y
0.000 0.000 0.000 Ag
```

Calculated volume in Å³ per atom: 32.24
Polymorph energy (0 for the lowest one) in meV/atom: 270
Formation enthalpy at 0 K in eV/atom: 0.155
N(E_F) in states/eV per cell: 7.81

Computed, not measured: crystalline AcLaYAg at its relaxed geometry at the PBE level of DFT.

```
AcLaYAg
1.0
3.782 0.000 0.000
0.000 3.782 0.000
0.000 0.000 9.081
La Ag Y Ac
1 1 1 1
Cartesian
1.891 1.891 7.045 La
0.000 0.000 5.028 Ag
1.891 1.891 3.397 Y
0.000 0.000 0.737 Ac
```

Calculated volume in Å³ per atom: 32.48
Polymorph energy (0 for the lowest one) in meV/atom: 0
Formation enthalpy at 0 K in eV/atom: -0.115
N(E_F) in states/eV per cell: 5.29

Computed, not measured: crystalline AcLa2Zn2Ag2 at its relaxed geometry at the PBE level of DFT.

```
AcLa2Zn2Ag2
1.0
4.767 0.000 0.000
2.383 4.128 0.000
2.383 1.376 9.612
Zn La Ac Ag
2 2 1 2
Cartesian
2.383 1.376 2.210 Zn
7.150 4.128 7.401 Zn
7.150 4.128 3.675 La
2.383 1.376 5.936 La
0.000 0.000 0.000 Ac
4.767 2.752 7.574 Ag
4.767 2.752 2.038 Ag
```

Calculated volume in Å³ per atom: 27.02
Formation enthalpy at 0 K in eV/atom: -0.249
N(E_F) in states/eV per cell: 6.48

Computed, not measured: crystalline LiAc2Ag5 at its relaxed geometry at the PBE level of DFT.

```
LiAc2Ag5
1.0
-1.449 3.480 -2.925
-7.256 -2.372 4.665
2.218 6.676 6.844
Li Ag Ac
2 10 4
Cartesian
-1.117 3.334 0.629 Li
-5.370 4.450 7.956 Li
-1.540 3.822 5.310 Ag
-3.481 6.022 8.889 Ag
-5.583 2.048 1.312 Ag
-4.947 3.963 3.275 Ag
-0.524 6.631 4.258 Ag
-3.006 1.763 -0.305 Ag
-5.963 1.153 4.327 Ag
-0.904 5.736 7.272 Ag
-4.451 3.101 5.896 Ag
-2.036 4.683 2.689 Ag
-3.652 6.384 5.513 Ac
0.000 0.000 0.000 Ac
-2.835 1.401 3.071 Ac
1.109 3.338 3.422 Ac
```

Calculated volume in Å³ per atom: 25.24
Polymorph energy (0 for the lowest one) in meV/atom: 0
Formation enthalpy at 0 K in eV/atom: -0.178
N(E_F) in states/eV per cell: 8.95

Computed, not measured: crystalline Li3AcAg at its relaxed geometry at the PBE level of DFT.

```
Li3AcAg
1.0
-1.264 5.918 -0.128
-4.960 -0.993 3.083
4.051 -1.845 5.922
Li Ac Ag
6 2 2
Cartesian
-2.607 2.782 4.842 Li
-2.615 4.259 2.260 Li
0.048 3.314 3.192 Li
-3.342 -0.557 5.229 Li
-1.045 1.381 1.214 Li
-3.350 0.919 2.646 Li
-0.047 0.213 5.088 Ac
-1.859 1.643 8.323 Ac
-0.058 3.363 6.085 Ag
-1.849 -1.507 7.326 Ag
```

Calculated volume in Å³ per atom: 24.63
Polymorph energy (0 for the lowest one) in meV/atom: 0
Formation enthalpy at 0 K in eV/atom: -0.079
N(E_F) in states/eV per cell: 7.25

Computed, not measured: crystalline Li6AcAg4 at its relaxed geometry at the PBE level of DFT.

```
Li6AcAg4
1.0
4.305 0.000 0.000
0.000 6.678 -3.856
0.000 0.000 7.711
Li Ac Ag
6 1 4
Cartesian
0.000 3.562 -1.542 Li
0.000 6.233 0.000 Li
2.152 1.386 2.401 Li
2.152 1.386 5.310 Li
0.000 3.562 1.542 Li
2.152 3.906 3.856 Li
0.000 0.000 0.000 Ac
2.152 5.314 -1.492 Ag
2.152 5.314 1.492 Ag
2.152 2.729 0.000 Ag
0.000 2.226 3.856 Ag
```

Calculated volume in Å³ per atom: 20.15
Formation enthalpy at 0 K in eV/atom: -0.156
N(E_F) in states/eV per cell: 5.42